[1]
VASP calculation (PBE) on an optimized crystal structure of DyPaNb.

Summary:
The total energy comes out at -7.38 eV/atom. As for the calculated volume: 27.32 Å³/atom.

abc: 6.8951 6.8951 6.8951
angles: 90.00 90.00 90.00
Closest atoms and distances in Å follow each position.
Space group F-43m (No. 216)
Asymmetric unit:
Dy 0.0000 0.0000 0.0000 [4 per cell]  4 Nb 2.99
Pa 0.0000 0.0000 0.5000 [4 per cell]  4 Nb 2.99
Nb 0.2500 0.2500 0.2500 [4 per cell]  4 Pa 2.99, 4 Dy 2.99

[2]
VASP calculation (PBE) on an optimized crystal structure of Gd5Ir3.

Summary:
The total energy comes out at -6.99 eV/atom. As for the calculated volume: 24.06 Å³/atom.

abc: 10.9700 10.9700 6.3965
angles: 90.00 90.00 90.00
Closest atoms and distances in Å follow each position.
Space group P4/ncc (No. 130, origin choice 2)
Asymmetric unit:
Gd 0.0416 0.1614 0.1220 [16 per cell]  5 Ir 2.91-3.17
Gd 0.2500 0.7500 0.0000 [4 per cell]  4 Ir 2.87, 2 Gd 3.20
Ir 0.0963 0.5963 0.7500 [8 per cell]  8 Gd 2.87-3.17
Ir 0.2500 0.2500 0.3791 [4 per cell]  8 Gd 2.93-2.98, 2 Ir 3.20

> Number 2 is which compound?

Gd5Ir3

> Look up the calculated volume of the first one.

27.32 Å³/atom

> Which of these has the lowest calculated volume?

Gd5Ir3

What did the second record say?
VASP calculation (PBE) on an optimized crystal structure of Gd5Ir3.

Summary:
The total energy comes out at -6.99 eV/atom. As for the calculated volume: 24.06 Å³/atom.

abc: 10.9700 10.9700 6.3965
angles: 90.00 90.00 90.00
Closest atoms and distances in Å follow each position.
Space group P4/ncc (No. 130, origin choice 2)
Asymmetric unit:
Gd 0.0416 0.1614 0.1220 [16 per cell]  5 Ir 2.91-3.17
Gd 0.2500 0.7500 0.0000 [4 per cell]  4 Ir 2.87, 2 Gd 3.20
Ir 0.0963 0.5963 0.7500 [8 per cell]  8 Gd 2.87-3.17
Ir 0.2500 0.2500 0.3791 [4 per cell]  8 Gd 2.93-2.98, 2 Ir 3.20